A relaxed structure of FeCoNO2, computed with PBE+U.

Density of states at the Fermi level (states/eV/cell): 2.756
Magnetic moment (μB per atom): 0.87
Space-group type: P4/mmm (123)
Electronic total energy (hartree per atom): -0.2066

```
FeCoNO2
1.0
-2.936 2.356 -1.001
-1.213 0.061 3.701
1.943 2.673 0.593
Co Fe O N
1 1 2 1
Direct
0.000 0.000 0.000 Co
0.500 0.500 0.500 Fe
0.000 0.500 0.000 O
0.500 0.000 0.000 O
0.000 0.000 0.500 N
```